Entry A
# GGA-PBE YAlCuOs, relaxed
# volume	17.3	Å³ per atom
# symmetry	No. 216
data_YAlCuOs
_cell_length_a 4.610
_cell_length_b 4.610
_cell_length_c 4.610
_cell_angle_alpha 60.00
_cell_angle_beta 60.00
_cell_angle_gamma 60.00
_space_group_name_H-M_alt 'P 1'
_space_group_IT_number 1
_space_group_name_Hall 'P 1'
loop_
_atom_site_label
_atom_site_type_symbol
_atom_site_fract_x
_atom_site_fract_y
_atom_site_fract_z
Y1 Y 0.250 0.250 0.250
Os1 Os 0.500 0.500 0.500
Al1 Al 0.000 0.000 0.000
Cu1 Cu 0.750 0.750 0.750



Entry B
# GGA-PBE YAlCuOs, relaxed
# volume	16.9	Å³ per atom
# symmetry	No. 216
data_YAlCuOs
_cell_length_a 4.576
_cell_length_b 4.576
_cell_length_c 4.576
_cell_angle_alpha 60.00
_cell_angle_beta 60.00
_cell_angle_gamma 60.00
_space_group_name_H-M_alt 'P 1'
_space_group_IT_number 1
_space_group_name_Hall 'P 1'
loop_
_atom_site_label
_atom_site_type_symbol
_atom_site_fract_x
_atom_site_fract_y
_atom_site_fract_z
Cu1 Cu 0.750 0.750 0.750
Os1 Os 0.250 0.250 0.250
Y1 Y 0.500 0.500 0.500
Al1 Al 0.000 0.000 0.000



Energies relative to the most stable structure are entry A 0.393; entry B 0.000, reported in eV/atom.



Entry A
# GGA-PBE AlZnCuOs, relaxed
# volume	13.6	Å³ per atom
# symmetry	No. 216
data_AlZnCuOs
_cell_length_a 4.249
_cell_length_b 4.249
_cell_length_c 4.249
_cell_angle_alpha 60.00
_cell_angle_beta 60.00
_cell_angle_gamma 60.00
_space_group_name_H-M_alt 'P 1'
_space_group_IT_number 1
_space_group_name_Hall 'P 1'
loop_
_atom_site_label
_atom_site_type_symbol
_atom_site_fract_x
_atom_site_fract_y
_atom_site_fract_z
Zn1 Zn 0.250 0.250 0.250
Cu1 Cu 0.750 0.750 0.750
Al1 Al 0.000 0.000 0.000
Os1 Os 0.500 0.500 0.500



Entry B
# GGA-PBE AlZnCuOs, relaxed
# volume	13.5	Å³ per atom
# symmetry	No. 216
data_AlZnCuOs
_cell_length_a 4.243
_cell_length_b 4.243
_cell_length_c 4.243
_cell_angle_alpha 60.00
_cell_angle_beta 60.00
_cell_angle_gamma 60.00
_space_group_name_H-M_alt 'P 1'
_space_group_IT_number 1
_space_group_name_Hall 'P 1'
loop_
_atom_site_label
_atom_site_type_symbol
_atom_site_fract_x
_atom_site_fract_y
_atom_site_fract_z
Os1 Os 0.250 0.250 0.250
Zn1 Zn 0.500 0.500 0.500
Cu1 Cu 0.750 0.750 0.750
Al1 Al 0.000 0.000 0.000



Energies relative to the most stable structure are entry A 0.217; entry B 0.000, reported in eV/atom.



Entry A
# GGA-PBE AlCuPdPb, relaxed
# volume	17.9	Å³ per atom
# symmetry	No. 216
data_AlCuPdPb
_cell_length_a 4.658
_cell_length_b 4.658
_cell_length_c 4.658
_cell_angle_alpha 60.00
_cell_angle_beta 60.00
_cell_angle_gamma 60.00
_space_group_name_H-M_alt 'P 1'
_space_group_IT_number 1
_space_group_name_Hall 'P 1'
loop_
_atom_site_label
_atom_site_type_symbol
_atom_site_fract_x
_atom_site_fract_y
_atom_site_fract_z
Al1 Al 0.000 0.000 0.000
Pd1 Pd 0.250 0.250 0.250
Pb1 Pb 0.500 0.500 0.500
Cu1 Cu 0.750 0.750 0.750



Entry B
# GGA-PBE AlCuPdPb, relaxed
# volume	17.8	Å³ per atom
# symmetry	No. 216
data_AlCuPdPb
_cell_length_a 4.655
_cell_length_b 4.655
_cell_length_c 4.655
_cell_angle_alpha 60.00
_cell_angle_beta 60.00
_cell_angle_gamma 60.00
_space_group_name_H-M_alt 'P 1'
_space_group_IT_number 1
_space_group_name_Hall 'P 1'
loop_
_atom_site_label
_atom_site_type_symbol
_atom_site_fract_x
_atom_site_fract_y
_atom_site_fract_z
Cu1 Cu 0.750 0.750 0.750
Pb1 Pb 0.500 0.500 0.500
Al1 Al 0.250 0.250 0.250
Pd1 Pd 0.000 0.000 0.000



Energies relative to the most stable structure are entry A 0.000; entry B 0.076, reported in eV/atom.



Entry A
# GGA-PBE AlCuSiPd, relaxed
# volume	14.2	Å³ per atom
# symmetry	No. 216
data_AlCuSiPd
_cell_length_a 4.319
_cell_length_b 4.319
_cell_length_c 4.319
_cell_angle_alpha 60.00
_cell_angle_beta 60.00
_cell_angle_gamma 60.00
_space_group_name_H-M_alt 'P 1'
_space_group_IT_number 1
_space_group_name_Hall 'P 1'
loop_
_atom_site_label
_atom_site_type_symbol
_atom_site_fract_x
_atom_site_fract_y
_atom_site_fract_z
Al1 Al 0.250 0.250 0.250
Pd1 Pd 0.500 0.500 0.500
Cu1 Cu 0.750 0.750 0.750
Si1 Si 0.000 0.000 0.000



Entry B
# GGA-PBE AlCuSiPd, relaxed
# volume	13.9	Å³ per atom
# symmetry	No. 216
data_AlCuSiPd
_cell_length_a 4.279
_cell_length_b 4.279
_cell_length_c 4.279
_cell_angle_alpha 60.00
_cell_angle_beta 60.00
_cell_angle_gamma 60.00
_space_group_name_H-M_alt 'P 1'
_space_group_IT_number 1
_space_group_name_Hall 'P 1'
loop_
_atom_site_label
_atom_site_type_symbol
_atom_site_fract_x
_atom_site_fract_y
_atom_site_fract_z
Cu1 Cu 0.750 0.750 0.750
Pd1 Pd 0.250 0.250 0.250
Al1 Al 0.500 0.500 0.500
Si1 Si 0.000 0.000 0.000



Energies relative to the most stable structure are entry A 0.113; entry B 0.000, reported in eV/atom.



Entry A
# GGA-PBE AlCuPdW, relaxed
# volume	14.7	Å³ per atom
# symmetry	No. 216
data_AlCuPdW
_cell_length_a 4.365
_cell_length_b 4.365
_cell_length_c 4.365
_cell_angle_alpha 60.00
_cell_angle_beta 60.00
_cell_angle_gamma 60.00
_space_group_name_H-M_alt 'P 1'
_space_group_IT_number 1
_space_group_name_Hall 'P 1'
loop_
_atom_site_label
_atom_site_type_symbol
_atom_site_fract_x
_atom_site_fract_y
_atom_site_fract_z
W1 W 0.250 0.250 0.250
Pd1 Pd 0.500 0.500 0.500
Al1 Al 0.000 0.000 0.000
Cu1 Cu 0.750 0.750 0.750



Entry B
# GGA-PBE AlCuPdW, relaxed
# volume	14.7	Å³ per atom
# symmetry	No. 216
data_AlCuPdW
_cell_length_a 4.364
_cell_length_b 4.364
_cell_length_c 4.364
_cell_angle_alpha 60.00
_cell_angle_beta 60.00
_cell_angle_gamma 60.00
_space_group_name_H-M_alt 'P 1'
_space_group_IT_number 1
_space_group_name_Hall 'P 1'
loop_
_atom_site_label
_atom_site_type_symbol
_atom_site_fract_x
_atom_site_fract_y
_atom_site_fract_z
Cu1 Cu 0.750 0.750 0.750
Al1 Al 0.000 0.000 0.000
W1 W 0.500 0.500 0.500
Pd1 Pd 0.250 0.250 0.250



Energies relative to the most stable structure are entry A 0.046; entry B 0.000, reported in eV/atom.



Entry A
# GGA-PBE ScAl2Cu5, relaxed
# volume	13.7	Å³ per atom
# symmetry	No. 123
data_ScAl2Cu5
_cell_length_a 4.250
_cell_length_b 4.250
_cell_length_c 6.064
_cell_angle_alpha 90.00
_cell_angle_beta 90.00
_cell_angle_gamma 90.00
_space_group_name_H-M_alt 'P 1'
_space_group_IT_number 1
_space_group_name_Hall 'P 1'
loop_
_atom_site_label
_atom_site_type_symbol
_atom_site_fract_x
_atom_site_fract_y
_atom_site_fract_z
Cu1 Cu 0.000 0.500 0.732
Cu2 Cu 0.500 0.000 0.732
Cu3 Cu 0.000 0.500 0.268
Cu4 Cu 0.000 0.000 0.500
Cu5 Cu 0.500 0.000 0.268
Sc1 Sc 0.500 0.500 0.000
Al1 Al 0.000 0.000 0.000
Al2 Al 0.500 0.500 0.500



Entry B
# GGA-PBE ScAl2Cu5, relaxed
# volume	13.7	Å³ per atom
# symmetry	No. 141
data_ScAl2Cu5
_cell_length_a 7.516
_cell_length_b 7.516
_cell_length_c 7.516
_cell_angle_alpha 133.56
_cell_angle_beta 133.56
_cell_angle_gamma 67.77
_space_group_name_H-M_alt 'P 1'
_space_group_IT_number 1
_space_group_name_Hall 'P 1'
loop_
_atom_site_label
_atom_site_type_symbol
_atom_site_fract_x
_atom_site_fract_y
_atom_site_fract_z
Cu1 Cu 0.375 0.398 0.523
Cu2 Cu 0.875 0.398 0.023
Cu3 Cu 0.375 0.852 0.977
Cu4 Cu 0.102 0.625 0.977
Cu5 Cu 0.750 0.750 0.000
Cu6 Cu 0.648 0.125 0.023
Cu7 Cu 0.000 0.500 0.500
Cu8 Cu 0.648 0.625 0.523
Cu9 Cu 0.875 0.852 0.477
Cu10 Cu 0.102 0.125 0.477
Al1 Al 0.741 0.241 0.500
Al2 Al 0.491 0.491 0.000
Al3 Al 0.009 0.009 0.000
Al4 Al 0.259 0.759 0.500
Sc1 Sc 0.500 0.000 0.500
Sc2 Sc 0.250 0.250 0.000



Energies relative to the most stable structure are entry A 0.000; entry B 0.023, reported in eV/atom.